[1]
Density functional theory data (PBE-GGA) for crystalline Fe2SbRu at its relaxed geometry.

## Properties
The size of the total moment comes out at 2.31 μB per cell. The formation energy without anion corrections is 102 kJ/mol of formula units.

Cell lengths 3.828, 3.828, 7.454 Å; angles 90.00, 90.00, 90.00 degrees
Space group I4/mmm (No. 139)
One atom of each set of equivalent atoms:
Fe 0.000 0.500 0.250 (multiplicity 4)
Sb 0.000 0.000 0.000 (multiplicity 2)
Ru 0.000 0.000 0.500 (multiplicity 2)

***

[2]
Density functional theory data (PBE-GGA) for crystalline Ag3GeC at its relaxed geometry.

## Properties
The size of the total moment comes out at 0.00 μB per cell. The energy of formation from the pure elements is 866 meV per atom. The value obtained for the offset from the most stable computed form is 0.000 eV/atom.

Cell lengths 4.398, 4.398, 4.398 Å; angles 90.00, 90.00, 90.00 degrees
Space group Pm-3m (No. 221)
One atom of each set of equivalent atoms:
Ag 0.000 0.000 0.500 (multiplicity 3)
Ge 0.500 0.500 0.500 (multiplicity 1)
C 0.000 0.000 0.000 (multiplicity 1)

***

[3]
Density functional theory data (PBE-GGA) for crystalline KMg2RuPb at its relaxed geometry.

## Properties
The size of the total moment comes out at 0.00 μB per cell. The energy of formation from the pure elements is 11 meV per atom.

Cell lengths 5.177, 5.177, 5.233 Å; angles 90.00, 90.00, 90.00 degrees
Space group P4/mmm (No. 123)
One atom of each set of equivalent atoms:
K 0.000 0.000 0.000 (multiplicity 1)
Mg 0.000 0.500 0.500 (multiplicity 2)
Ru 0.500 0.500 0.500 (multiplicity 1)
Pb 0.500 0.500 0.000 (multiplicity 1)